Model w:
LiZrRe: relaxed, GGA-PBE.

```
LiZrRe
1.0
7.504 0.000 0.000
6.536 3.688 0.000
-7.020 -1.844 1.907
Re Zr Li
1 1 1
Cartesian
4.766 1.252 0.000 Re
9.466 2.487 0.000 Zr
13.848 3.638 0.000 Li
```

=====

Model x:
LiZrRe: relaxed, GGA-PBE.

```
LiZrRe
1.0
5.027 -0.016 0.005
2.299 4.471 -0.005
-2.977 -3.356 2.269
Zr Li Re
1 1 1
Cartesian
4.913 2.987 0.000 Zr
7.301 4.439 0.000 Li
2.440 1.484 0.000 Re
```

=====

Which of them is least stable? Easy: model w.